[1]
Here is a geometry-optimized Nd3ErAs4 structure from the Alexandria database. Energies are from PBE-GGA.

Computed properties:
Total energy in eV per atom: -6.1867
Crystal system: orthorhombic
Magnetization in μB/f.u.: 0.000
Energy relative to the elements in eV/atom: -1.5036

a b c (Å): 8.4514 11.9520 4.2300
angles (deg): 90.00 90.00 90.00
Closest atoms and distances in Å follow each position.
Space group Cmmm (No. 65)
Asymmetric unit:
Nd1 0.0000 0.0000 0.0000 [2 per cell]  6 As 3.04
Nd2 0.2500 0.2500 0.5000 [4 per cell]  6 As 2.99
Er1 0.0000 0.5000 0.0000 [2 per cell]  6 As 2.94
As1 0.0000 0.2539 0.0000 [4 per cell]  1 Er 2.94, 5 Nd 2.99-3.04
As2 0.2423 0.5000 0.5000 [4 per cell]  2 Er 2.94, 4 Nd 2.99-3.04

[2]
Here is a geometry-optimized CrNiIr2 structure from the Alexandria database. Energies are from PBE-GGA.

Computed properties:
Total energy in eV per atom: -8.3715
Crystal system: tetragonal
Magnetization in μB/f.u.: 1.772
Energy relative to the elements in eV/atom: -0.0899

a b c (Å): 3.6939 3.6939 7.6924
angles (deg): 90.00 90.00 90.00
Closest atoms and distances in Å follow each position.
Space group I-4m2 (No. 119)
Asymmetric unit:
Cr1 0.0000 0.0000 0.0000 [2 per cell]  8 Ir 2.61-2.67, 4 Ni 2.67
Ni1 0.0000 0.5000 0.2500 [2 per cell]  8 Ir 2.61-2.67, 4 Cr 2.67
Ir1 0.0000 0.0000 0.5000 [2 per cell]  4 Cr 2.61, 4 Ni 2.67, 4 Ir 2.67
Ir2 0.0000 0.5000 0.7500 [2 per cell]  4 Ni 2.61, 4 Cr 2.67, 4 Ir 2.67

[3]
Here is a geometry-optimized LiP2CN6 structure from the Alexandria database. Energies are from PBE-GGA.

Computed properties:
Total energy in eV per atom: -7.0514
Formation energy without anion corrections in eV/atom: 0.14
Crystal system: monoclinic
Magnetization in μB/f.u.: 0.000

a b c (Å): 9.5397 10.5879 5.0353
angles (deg): 90.00 121.86 90.00
Closest atoms and distances in Å follow each position.
Space group C2/c (No. 15)
Asymmetric unit:
Li1 0.0000 0.2502 0.2500 [4 per cell]  4 N 2.07
P1 0.2495 0.0738 0.0670 [8 per cell]  4 N 1.59-1.65
C1 0.0000 0.2502 0.7500 [4 per cell]  4 N 1.44
N1 0.0978 0.1674 0.0112 [8 per cell]  1 C 1.44
N2 0.0979 0.3334 0.6852 [8 per cell]  1 C 1.44
N3 0.2490 0.0480 0.7522 [8 per cell]  2 P 1.59-1.61

[4]
Here is a geometry-optimized Tb9Y4Tm11 structure from the Alexandria database. Energies are from PBE-GGA.

Computed properties:
Total energy in eV per atom: -4.8070
Crystal system: orthorhombic
Magnetization in μB/f.u.: 0.000
Energy relative to the elements in eV/atom: 0.0561

a b c (Å): 16.5374 25.0233 3.6501
angles (deg): 90.00 90.00 90.00
Closest atoms and distances in Å follow each position.
Space group Cmmm (No. 65)
Asymmetric unit:
Tb1 0.0000 0.0000 0.0000 [2 per cell]  4 Y 3.59, 2 Tb 3.65, 8 Tm 3.82-3.95
Tb2 0.1027 0.2338 0.0000 [8 per cell]  3 Tb 3.40-3.65, 1 Y 3.45, 8 Tm 3.45-3.63
Tb3 0.1398 0.4269 0.0000 [8 per cell]  1 Y 3.46, 8 Tm 3.47-3.67, 3 Tb 3.65-3.66
Y1 0.1550 0.1006 0.0000 [8 per cell]  6 Tm 3.25-3.37, 3 Tb 3.45-3.59
Tm1 0.0000 0.1341 0.5000 [4 per cell]  4 Y 3.26, 4 Tb 3.53
Tm2 0.0000 0.3394 0.5000 [4 per cell]  8 Tb 3.63-3.67, 5 Tm 3.65-4.02
Tm3 0.0000 0.5000 0.5000 [2 per cell]  8 Tb 3.47, 2 Tm 3.65
Tm4 0.2116 0.0000 0.5000 [4 per cell]  4 Y 3.25, 4 Tb 3.57
Tm5 0.2248 0.3188 0.5000 [8 per cell]  2 Y 3.37, 6 Tb 3.45-3.63, 4 Tm 3.54-3.75

total energy of number 4 (Tb9Y4Tm11)? -4.8070 eV per atom

What is the formula in the third record? LiP2CN6

The highest magnetization belongs to which entry? CrNiIr2

Look up the magnetization of the third one. 0.000 μB/f.u.